VASP calculation (PBE) on a relaxed structure of Mn2BePt. Values from VASP.

```
&SYSTEM
  ibrav = 0, nat = 4, ntyp = 3
/
ATOMIC_SPECIES
Mn 54.94 Mn.upf
Be 9.01 Be.upf
Pt 195.08 Pt.upf
CELL_PARAMETERS angstrom
2.611 0.000 0.000
0.000 3.758 0.000
0.000 0.000 4.729
ATOMIC_POSITIONS crystal
Mn 0.000 0.000 0.212
Mn 0.000 0.000 0.788
Be 0.500 0.500 0.000
Pt 0.500 0.500 0.500
```

Output
Its formation energy is -109 meV/atom. As for the density of states at the Fermi level: 3.99 states/eV/cell. The total moment is 1.16 Bohr magnetons per cell.